The following is a PBE calculation of a relaxed Tb7Pr4Th crystal, from the Alexandria database.

Geometry as POSCAR:
```
Tb7Pr4Th
1.0
6.3091 0.0000 0.0000
0.0008 7.2789 0.0000
2.1024 0.0353 8.7657
Tb Pr Th
7 4 1
direct
0.0000 0.0000 0.0000
0.2184 0.5000 0.3272
0.2739 0.7440 0.6724
0.4995 0.7424 0.9989
0.5005 0.2576 0.0011
0.7261 0.2560 0.3276
0.7816 0.5000 0.6728
0.2258 0.0007 0.3337
0.2754 0.2546 0.6702
0.7246 0.7454 0.3298
0.7742 0.9993 0.6663
0.0000 0.5000 0.0000
```

Output
The density of states at the Fermi level is 17.094 states/eV per cell. The space group is P-1 (2). The total energy comes out at -4.892 eV per atom. Its volume is 33.55 A^3/atom. Its energy relative to the elements is 20 meV per atom.